This record from Alexandria via LeMat-Bulk describes KSrSc at its PBEsol-relaxed geometry. The functional is SCAN.

a = 3.645 Å, b = 3.645 Å, c = 9.926 Å
α = 97.08°, β = 97.08°, γ = 109.21°
Element x y z (fractional)
K (0.010, 0.010, 0.020)
Sr (0.315, 0.315, 0.630)
Sc (0.675, 0.675, 0.350)

density of states at the Fermi level	1.24	states/eV per atom
SG	Fmm2 (42)
formation energy	0.478	eV/atom